Record 1
DFT (PBE) results for an optimized crystal structure of CoAgTe2.

```
CoAgTe2
1.0
1.906 1.101 8.010
-1.906 1.101 8.010
0.000 -2.201 8.010
Co Ag Te
1 1 2
Direct
0.000 0.000 0.000
0.500 0.500 0.500
0.387 0.387 0.387
0.613 0.613 0.613
```

Summary:
Volume   100.83 Å³ per cell
Total moment   0.0 μB per cell
Symmetry   R-3m (166)
VASP energy   -16.446 eV/cell


Record 2
DFT (PBE) results for an optimized crystal structure of CoAgTe2.

```
CoAgTe2
1.0
0.000 3.528 3.528
3.528 0.000 3.528
3.528 3.528 0.000
Co Ag Te
1 1 2
Direct
0.000 0.000 0.000
0.750 0.750 0.750
0.250 0.250 0.250
0.500 0.500 0.500
```

Summary:
Volume   87.83 Å³ per cell
Total moment   1.7 μB per cell
Symmetry   F-43m (216)
VASP energy   -13.268 eV/cell


Record 3
DFT (PBE) results for an optimized crystal structure of CoAgTe2.

```
CoAgTe2
1.0
-3.092 3.092 5.645
3.092 -3.092 5.645
3.092 3.092 -5.645
Co Ag Te
2 2 4
Direct
0.000 0.000 0.000
0.750 0.250 0.500
0.250 0.750 0.500
0.500 0.500 0.000
0.074 0.625 0.949
0.375 0.324 0.449
0.676 0.125 0.051
0.875 0.926 0.551
```

Summary:
Volume   215.88 Å³ per cell
Total moment   0.0 μB per cell
Symmetry   I-42d (122)
VASP energy   -32.000 eV/cell


Record 4
DFT (PBE) results for an optimized crystal structure of CoAgTe2.

```
CoAgTe2
1.0
3.163 0.000 0.000
0.000 3.389 0.000
0.000 0.000 7.661
Co Ag Te
1 1 2
Direct
0.000 0.000 0.000
0.000 0.000 0.500
0.500 0.500 0.207
0.500 0.500 0.793
```

Summary:
Volume   82.12 Å³ per cell
Total moment   0.0 μB per cell
Symmetry   Pmmm (47)
VASP energy   -14.978 eV/cell


Record 5
DFT (PBE) results for an optimized crystal structure of Co4Ag2Te.

```
Co4Ag2Te
1.0
-2.300 2.300 6.445
2.300 -2.300 6.445
2.300 2.300 -6.445
Co Ag Te
4 2 1
Direct
0.000 0.500 0.500
0.190 0.190 0.000
0.500 0.000 0.500
0.810 0.810 0.000
0.386 0.386 0.000
0.614 0.614 0.000
0.000 0.000 0.000
```

Summary:
Volume   136.36 Å³ per cell
Total moment   5.4 μB per cell
Symmetry   I4/mmm (139)
VASP energy   -29.360 eV/cell


Record 6
DFT (PBE) results for an optimized crystal structure of CoAgTe2.

```
CoAgTe2
1.0
-1.953 1.953 6.198
1.953 -1.953 6.198
1.953 1.953 -6.198
Co Ag Te
1 1 2
Direct
0.000 0.000 0.000
0.750 0.250 0.500
0.250 0.750 0.500
0.500 0.500 0.000
```

Summary:
Volume   94.60 Å³ per cell
Total moment   1.9 μB per cell
Symmetry   I-4m2 (119)
VASP energy   -14.274 eV/cell